[1]
# BeCu2Br

A relaxed structure of BeCu2Br (PBE, Alexandria).

Geometry as extended XYZ:
```
4
Lattice="-1.903 -0.506 3.971 -4.359 0.654 0.469 -2.690 -3.443 0.746" Properties=species:S:1:pos:R:3 pbc="T T T"
Cu -6.714 -2.472 3.889
Cu -2.238 -0.824 1.296
Br -4.476 -1.648 2.593
Be 0.000 0.000 0.000
```

Summary:
Total magnetization in Bohr magnetons per cell: 0.000
Space group: No. 225
Uncorrected formation energy in meV per atom: 860
D(E_F) in states/eV per cell: 4.9


[2]
# BeCu2Br

A relaxed structure of BeCu2Br (PBE, Alexandria).

Geometry as extended XYZ:
```
4
Lattice="4.516 0.049 -0.087 -1.757 4.160 -0.087 0.058 0.089 3.121" Properties=species:S:1:pos:R:3 pbc="T T T"
Br -0.849 2.124 1.517
Be 2.287 0.069 1.517
Cu 1.379 2.105 -0.087
Cu 0.000 0.000 0.000
```

Summary:
Total magnetization in Bohr magnetons per cell: 0.000
Space group: No. 65
Uncorrected formation energy in meV per atom: 588
D(E_F) in states/eV per cell: 1.2


[3]
# BeCuBr2

A relaxed structure of BeCuBr2 (PBE, Alexandria).

Geometry as extended XYZ:
```
4
Lattice="5.814 0.396 -0.187 1.116 5.719 -0.187 1.959 1.728 2.727" Properties=species:S:1:pos:R:3 pbc="T T T"
Be 1.537 3.724 1.270
Br 0.000 0.000 0.000
Br 3.465 3.058 -0.187
Cu 3.886 1.062 1.270
```

Summary:
Total magnetization in Bohr magnetons per cell: 0.000
Space group: No. 12
Uncorrected formation energy in meV per atom: 253
D(E_F) in states/eV per cell: 1.1


[4]
# BeCuBr2

A relaxed structure of BeCuBr2 (PBE, Alexandria).

Geometry as extended XYZ:
```
4
Lattice="3.308 0.000 0.000 0.000 3.308 0.000 0.000 0.000 6.723" Properties=species:S:1:pos:R:3 pbc="T T T"
Be 1.654 1.654 5.042
Br 0.000 0.000 3.431
Br 0.000 0.000 6.654
Cu 1.654 1.654 1.681
```

Summary:
Total magnetization in Bohr magnetons per cell: 0.000
Space group: No. 123
Uncorrected formation energy in meV per atom: 530
D(E_F) in states/eV per cell: 1.6


[5]
# BeCuBr2

A relaxed structure of BeCuBr2 (PBE, Alexandria).

Geometry as extended XYZ:
```
4
Lattice="3.398 0.000 0.000 0.000 5.267 0.309 0.000 -0.115 5.084" Properties=species:S:1:pos:R:3 pbc="T T T"
Br 0.000 4.985 5.201
Br 0.000 2.743 2.888
Cu 1.699 1.288 1.348
Be 1.699 3.864 4.045
```

Summary:
Total magnetization in Bohr magnetons per cell: 0.000
Space group: No. 10
Uncorrected formation energy in meV per atom: 207
D(E_F) in states/eV per cell: 1.5


[6]
# BeCuBr2

A relaxed structure of BeCuBr2 (PBE, Alexandria).

Geometry as extended XYZ:
```
8
Lattice="6.355 0.000 0.000 0.000 6.355 0.000 3.177 3.177 4.716" Properties=species:S:1:pos:R:3 pbc="T T T"
Br 2.140 4.766 1.179
Br 7.943 7.392 3.537
Br 4.766 5.317 3.537
Br 4.215 1.589 1.179
Be 3.177 6.355 2.358
Be 3.177 3.177 0.000
Cu 6.355 3.177 2.358
Cu 0.000 0.000 0.000
```

Summary:
Total magnetization in Bohr magnetons per cell: 0.000
Space group: No. 122
Uncorrected formation energy in meV per atom: 99
D(E_F) in states/eV per cell: 4.5


[7]
# BeCu2Br

A relaxed structure of BeCu2Br (PBE, Alexandria).

Geometry as extended XYZ:
```
4
Lattice="-2.422 0.927 1.812 -2.761 -0.760 -3.303 -2.253 -4.441 -0.741" Properties=species:S:1:pos:R:3 pbc="T T T"
Br -1.127 -2.221 -0.371
Cu -2.591 0.083 -0.746
Cu 0.000 0.000 0.000
Be -3.718 -2.137 -1.116
```

Summary:
Total magnetization in Bohr magnetons per cell: 0.000
Space group: No. 10
Uncorrected formation energy in meV per atom: 577
D(E_F) in states/eV per cell: 1.5


[8]
# BeCuBr2

A relaxed structure of BeCuBr2 (PBE, Alexandria).

Geometry as extended XYZ:
```
4
Lattice="3.356 0.013 0.009 1.667 2.913 0.009 1.768 1.030 10.276" Properties=species:S:1:pos:R:3 pbc="T T T"
Be 5.093 2.967 7.720
Br 3.422 1.993 6.317
Br 1.741 1.014 9.107
Cu 1.698 0.989 2.573
```

Summary:
Total magnetization in Bohr magnetons per cell: 0.000
Space group: No. 12
Uncorrected formation energy in meV per atom: 8
D(E_F) in states/eV per cell: 1.3


[9]
# BeCu3Br

A relaxed structure of BeCu3Br (PBE, Alexandria).

Geometry as extended XYZ:
```
5
Lattice="4.676 0.000 0.000 0.000 4.676 0.000 0.000 0.000 4.676" Properties=species:S:1:pos:R:3 pbc="T T T"
Cu 2.338 0.000 0.000
Cu 0.000 0.000 2.338
Cu 0.000 2.338 0.000
Br 0.000 0.000 0.000
Be 2.338 2.338 2.338
```

Summary:
Total magnetization in Bohr magnetons per cell: 0.000
Space group: No. 221
Uncorrected formation energy in meV per atom: 1299
D(E_F) in states/eV per cell: 1.6


[10]
# BeCuBr2

A relaxed structure of BeCuBr2 (PBE, Alexandria).

Geometry as extended XYZ:
```
4
Lattice="-2.138 -3.139 6.889 2.654 -4.452 5.918 0.554 5.872 -5.205" Properties=species:S:1:pos:R:3 pbc="T T T"
Br 1.733 -1.188 3.558
Br 0.000 0.000 0.000
Cu 0.258 -3.796 6.403
Be -0.663 -0.531 4.044
```

Summary:
Total magnetization in Bohr magnetons per cell: 0.000
Space group: No. 119
Uncorrected formation energy in meV per atom: 274
D(E_F) in states/eV per cell: 0.7


[11]
# BeCu2Br

A relaxed structure of BeCu2Br (PBE, Alexandria).

Geometry as extended XYZ:
```
4
Lattice="3.107 0.616 0.000 -0.612 3.107 0.000 0.000 0.000 6.326" Properties=species:S:1:pos:R:3 pbc="T T T"
Cu 1.247 1.862 1.743
Cu 0.000 0.000 0.647
Be 0.000 0.000 2.783
Br 1.247 1.862 4.316
```

Summary:
Total magnetization in Bohr magnetons per cell: 0.000
Space group: No. 99
Uncorrected formation energy in meV per atom: 316
D(E_F) in states/eV per cell: 0.9